## DyZnCo (PBE)

Data for a relaxed structure of DyZnCo.

Values from the calculation:
V = 59 Å³/f.u.
Size of the total moment = 0.45 Bohr magnetons per cell
Total energy = -0.151 hartree per atom
Symmetry = No. 216
Formation enthalpy at 0 K = 0.65 eV per formula unit

Unit cell a=4.371 b=4.371 c=4.371 alpha=60.00 beta=60.00 gamma=60.00
Atoms (fractional coordinates):
Dy  0.000  0.000  0.000
Zn  0.750  0.750  0.750
Co  0.500  0.500  0.500

=====

## DyZnCo (PBE)

Data for a relaxed structure of DyZnCo.

Values from the calculation:
V = 65 Å³/f.u.
Size of the total moment = 0.00 Bohr magnetons per cell
Total energy = -0.138 hartree per atom
Symmetry = No. 216
Formation enthalpy at 0 K = 1.70 eV per formula unit

Unit cell a=4.507 b=4.507 c=4.507 alpha=60.00 beta=60.00 gamma=60.00
Atoms (fractional coordinates):
Dy  0.000  0.000  0.000
Zn  0.750  0.750  0.750
Co  0.250  0.250  0.250

=====

## Dy4Zn3Co2 (PBE)

Data for a relaxed structure of Dy4Zn3Co2.

Values from the calculation:
V = 184 Å³/f.u.
Size of the total moment = 0.05 Bohr magnetons per cell
Total energy = -0.160 hartree per atom
Symmetry = No. 10
Formation enthalpy at 0 K = -2.72 eV per formula unit

Unit cell a=6.989 b=3.637 c=7.560 alpha=90.00 beta=106.61 gamma=90.00
Atoms (fractional coordinates):
Dy  0.085  0.000  0.223
Dy  0.394  0.000  0.704
Dy  0.606  0.000  0.296
Dy  0.915  0.000  0.777
Zn  0.000  0.500  0.500
Zn  0.303  0.500  0.018
Zn  0.697  0.500  0.982
Co  0.345  0.500  0.394
Co  0.655  0.500  0.606